# Ti2VTeN (PBE-GGA, optimized geometry)
# - N(E_F): 7.8 states/eV per cell
# - Uncorrected formation energy: 1907 meV per atom
data_Ti2VTeN
_chemical_formula_sum 'Ti2 V1 Te1 N1'
_cell_length_a 5.0812
_cell_length_b 5.0812
_cell_length_c 4.9971
_cell_angle_alpha 90.00
_cell_angle_beta 90.00
_cell_angle_gamma 90.00
_space_group_name_H-M_alt 'P 4/m m m'
_space_group_IT_number 123
_space_group_name_Hall '-P 4 2'
loop_
_atom_site_label
_atom_site_fract_x
_atom_site_fract_y
_atom_site_fract_z
_atom_site_occupancy
Ti1 0.0000 0.5000 0.0000 1
V1 0.0000 0.0000 0.5000 1
Te1 0.0000 0.0000 0.0000 1
N1 0.5000 0.5000 0.5000 1